Here is a relaxed structure of Mn2SiTe from the Alexandria database. Energies are from PBE.

```
4
Lattice="4.225 0.000 0.000 0.000 4.225 0.000 0.000 0.000 3.043" Properties=species:S:1:pos:R:3 pbc="T T T"
Mn 0.000 2.112 0.000
Mn 2.112 0.000 0.000
Si 0.000 0.000 1.521
Te 2.112 2.112 1.521
```

Results
* E_tot: -6.448 eV per atom
* crystal system: tetragonal
* calculated volume: 13.6 Å³/atom
* energy relative to the elements, uncorrected: 0.2780 eV/atom
* space group: P4/mmm (123)


Here is a relaxed structure of Mn2SiTe from the Alexandria database. Energies are from PBE.

```
4
Lattice="0.000 3.142 3.142 3.142 0.000 3.142 3.142 3.142 0.000" Properties=species:S:1:pos:R:3 pbc="T T T"
Mn 0.000 0.000 0.000
Mn 1.571 1.571 1.571
Si 3.142 3.142 3.142
Te 4.713 4.713 4.713
```

Results
* E_tot: -6.153 eV per atom
* crystal system: cubic
* calculated volume: 15.5 Å³/atom
* energy relative to the elements, uncorrected: 0.5734 eV/atom
* space group: F-43m (216)


Here is a relaxed structure of Mn2SiTe from the Alexandria database. Energies are from PBE.

```
4
Lattice="1.603 0.925 7.741 -1.603 0.925 7.741 0.000 -1.851 7.741" Properties=species:S:1:pos:R:3 pbc="T T T"
Mn 0.000 0.000 0.000
Mn 0.000 0.000 5.905
Si 0.000 0.000 12.223
Te 0.000 0.000 17.377
```

Results
* E_tot: -6.297 eV per atom
* crystal system: trigonal
* calculated volume: 17.2 Å³/atom
* energy relative to the elements, uncorrected: 0.4289 eV/atom
* space group: R3m (160)


Here is a relaxed structure of MnSi2Te8 from the Alexandria database. Energies are from PBE.

```
11
Lattice="6.501 -4.437 0.000 6.501 4.437 0.000 -1.022 0.000 5.968" Properties=species:S:1:pos:R:3 pbc="T T T"
Mn 0.000 0.000 0.000
Si 1.796 0.000 3.633
Si 10.184 0.000 2.335
Te 5.375 2.551 1.629
Te 2.347 0.000 1.174
Te 6.605 2.551 4.338
Te 4.026 0.000 4.707
Te 7.954 0.000 1.261
Te 5.375 -2.551 1.629
Te 9.633 0.000 4.794
Te 6.605 -2.551 4.338
```

Results
* E_tot: -4.074 eV per atom
* crystal system: monoclinic
* calculated volume: 31.3 Å³/atom
* energy relative to the elements, uncorrected: 0.0302 eV/atom
* space group: C2/m (12)


Here is a relaxed structure of MnSiTe from the Alexandria database. Energies are from PBE.

```
3
Lattice="-1.514 1.810 5.572 1.514 -1.810 5.572 1.514 1.810 -5.572" Properties=species:S:1:pos:R:3 pbc="T T T"
Mn 0.000 0.000 0.000
Si 0.000 0.000 4.680
Te 0.000 0.000 7.461
```

Results
* E_tot: -5.622 eV per atom
* crystal system: orthorhombic
* calculated volume: 20.4 Å³/atom
* energy relative to the elements, uncorrected: 0.2895 eV/atom
* space group: Imm2 (44)


Here is a relaxed structure of MnSiTe from the Alexandria database. Energies are from PBE.

```
3
Lattice="3.409 0.000 0.000 -1.705 2.952 0.000 0.000 0.000 5.522" Properties=species:S:1:pos:R:3 pbc="T T T"
Mn 0.000 0.000 0.000
Si 0.000 1.968 1.407
Te 1.705 0.984 3.739
```

Results
* E_tot: -5.703 eV per atom
* crystal system: trigonal
* calculated volume: 18.5 Å³/atom
* energy relative to the elements, uncorrected: 0.2081 eV/atom
* space group: P3m1 (156)


Here is a relaxed structure of Mn2SiTe from the Alexandria database. Energies are from PBE.

```
4
Lattice="2.894 -3.418 0.000 2.894 3.418 0.000 -0.390 0.000 3.400" Properties=species:S:1:pos:R:3 pbc="T T T"
Mn 1.447 1.709 0.000
Mn 1.447 -1.709 0.000
Si -0.195 0.000 1.700
Te 2.699 0.000 1.700
```

Results
* E_tot: -6.385 eV per atom
* crystal system: monoclinic
* calculated volume: 16.8 Å³/atom
* energy relative to the elements, uncorrected: 0.3414 eV/atom
* space group: C2/m (12)


Here is a relaxed structure of Mn2SiTe from the Alexandria database. Energies are from PBE.

```
4
Lattice="1.852 1.069 5.867 -1.852 1.069 5.867 0.000 -2.138 5.867" Properties=species:S:1:pos:R:3 pbc="T T T"
Mn 0.000 0.000 3.981
Mn 0.000 0.000 13.619
Si 0.000 0.000 8.800
Te 0.000 0.000 0.000
```

Results
* E_tot: -6.665 eV per atom
* crystal system: trigonal
* calculated volume: 17.4 Å³/atom
* energy relative to the elements, uncorrected: 0.0611 eV/atom
* space group: R-3m (166)


Here is a relaxed structure of MnSiTe from the Alexandria database. Energies are from PBE.

```
3
Lattice="0.000 3.095 3.095 3.095 0.000 3.095 3.095 3.095 0.000" Properties=species:S:1:pos:R:3 pbc="T T T"
Mn 0.000 0.000 0.000
Si 1.548 1.548 1.548
Te 4.643 4.643 4.643
```

Results
* E_tot: -5.645 eV per atom
* crystal system: cubic
* calculated volume: 19.8 Å³/atom
* energy relative to the elements, uncorrected: 0.2660 eV/atom
* space group: F-43m (216)


Here is a relaxed structure of Mn2SiTe from the Alexandria database. Energies are from PBE.

```
4
Lattice="3.246 0.000 0.000 0.000 1.732 6.167 0.000 -1.732 6.167" Properties=species:S:1:pos:R:3 pbc="T T T"
Mn 0.000 0.000 0.000
Mn 1.623 0.000 2.158
Si 1.623 0.000 6.603
Te 0.000 0.000 9.668
```

Results
* E_tot: -6.688 eV per atom
* crystal system: orthorhombic
* calculated volume: 17.3 Å³/atom
* energy relative to the elements, uncorrected: 0.0381 eV/atom
* space group: Amm2 (38)


Here is a relaxed structure of Mn4SiTe from the Alexandria database. Energies are from PBE.

```
6
Lattice="0.000 3.498 3.498 3.498 0.000 3.498 3.498 3.498 0.000" Properties=species:S:1:pos:R:3 pbc="T T T"
Mn 2.629 2.629 2.629
Mn 4.366 4.366 2.629
Mn 4.366 2.629 4.366
Mn 2.629 4.366 4.366
Si 5.247 5.247 5.247
Te 0.000 0.000 0.000
```

Results
* E_tot: -7.135 eV per atom
* crystal system: cubic
* calculated volume: 14.3 Å³/atom
* energy relative to the elements, uncorrected: 0.4059 eV/atom
* space group: F-43m (216)


Here is a relaxed structure of Mn2TlSiTe from the Alexandria database. Energies are from PBE.

```
5
Lattice="4.957 0.000 0.000 0.000 4.957 0.000 0.000 0.000 6.265" Properties=species:S:1:pos:R:3 pbc="T T T"
Mn 0.000 2.478 0.000
Mn 2.478 0.000 0.000
Tl 0.000 0.000 3.133
Si 2.478 2.478 3.133
Te 0.000 0.000 0.000
```

Results
* E_tot: -4.708 eV per atom
* crystal system: tetragonal
* calculated volume: 30.8 Å³/atom
* energy relative to the elements, uncorrected: 1.1463 eV/atom
* space group: P4/mmm (123)


Here is a relaxed structure of Th2Mn12Si7 from the Alexandria database. Energies are from PBE.

```
21
Lattice="9.723 0.000 0.000 -4.862 8.420 0.000 0.000 0.000 3.628" Properties=species:S:1:pos:R:3 pbc="T T T"
Th 0.000 0.000 0.000
Th 0.000 5.614 1.814
Mn -0.868 2.374 1.814
Mn -2.526 5.992 0.000
Mn -2.372 7.985 1.814
Mn 0.936 3.237 0.000
Mn 3.325 1.765 0.000
Mn 2.775 3.858 1.814
Mn 4.995 0.475 1.814
Mn 1.590 7.612 0.000
Mn 3.240 6.482 1.814
Mn 4.727 4.658 0.000
Mn 6.532 1.997 0.000
Mn 6.815 4.088 1.814
Si -1.451 3.760 0.000
Si 1.567 1.816 1.814
Si -0.880 7.797 0.000
Si 2.331 5.284 0.000
Si 4.862 2.807 1.814
Si 7.367 0.449 1.814
Si 5.651 6.156 1.814
```

Results
* E_tot: -8.131 eV per atom
* crystal system: hexagonal
* calculated volume: 14.1 Å³/atom
* energy relative to the elements, uncorrected: -0.3773 eV/atom
* space group: P-6 (174)


Here is a relaxed structure of ThMn2Si3 from the Alexandria database. Energies are from PBE.

```
12
Lattice="4.806 -3.738 0.000 4.806 3.738 0.000 0.000 0.000 5.180" Properties=species:S:1:pos:R:3 pbc="T T T"
Th 4.806 2.508 3.885
Th 4.806 -2.508 1.295
Mn 2.877 0.000 0.000
Mn 2.877 0.000 2.590
Mn 6.735 0.000 0.000
Mn 6.735 0.000 2.590
Si 3.006 2.113 1.295
Si 6.606 2.113 1.295
Si 4.806 0.525 1.295
Si 4.806 -0.525 3.885
Si 3.006 -2.113 3.885
Si 6.606 -2.113 3.885
```

Results
* E_tot: -7.531 eV per atom
* crystal system: orthorhombic
* calculated volume: 15.5 Å³/atom
* energy relative to the elements, uncorrected: -0.5264 eV/atom
* space group: Cmcm (63)


Here is a relaxed structure of ThMnSi2 from the Alexandria database. Energies are from PBE.

```
16
Lattice="6.809 0.000 0.000 0.000 4.131 0.000 0.000 0.000 10.123" Properties=species:S:1:pos:R:3 pbc="T T T"
Th 1.150 1.033 1.247
Th 2.255 3.098 6.308
Th 4.555 1.033 3.814
Th 5.659 3.098 8.875
Mn 0.070 3.098 3.935
Mn 3.335 1.033 8.996
Mn 3.474 3.098 1.126
Mn 6.740 1.033 6.188
Si 1.065 1.033 8.239
Si 1.177 1.033 4.249
Si 2.228 3.098 9.310
Si 2.340 3.098 3.178
Si 4.469 1.033 6.945
Si 4.582 1.033 0.812
Si 5.632 3.098 5.874
Si 5.744 3.098 1.884
```

Results
* E_tot: -7.475 eV per atom
* crystal system: orthorhombic
* calculated volume: 17.8 Å³/atom
* energy relative to the elements, uncorrected: -0.6162 eV/atom
* space group: Pnma (62)


Here is a relaxed structure of ThMn3Si3 from the Alexandria database. Energies are from PBE.

```
14
Lattice="6.329 0.000 0.000 0.000 6.329 0.000 0.000 0.000 6.329" Properties=species:S:1:pos:R:3 pbc="T T T"
Th 0.000 0.000 0.000
Th 3.164 3.164 3.164
Mn 0.000 1.582 3.164
Mn 0.000 4.747 3.164
Mn 1.582 3.164 0.000
Mn 3.164 0.000 1.582
Mn 3.164 0.000 4.747
Mn 4.747 3.164 0.000
Si 0.000 3.164 1.582
Si 0.000 3.164 4.747
Si 1.582 0.000 3.164
Si 3.164 1.582 0.000
Si 3.164 4.747 0.000
Si 4.747 0.000 3.164
```

Results
* E_tot: -7.153 eV per atom
* crystal system: cubic
* calculated volume: 18.1 Å³/atom
* energy relative to the elements, uncorrected: 0.1607 eV/atom
* space group: Pm-3n (223)


Here is a relaxed structure of ThMn4Si2 from the Alexandria database. Energies are from PBE.

```
7
Lattice="1.977 -6.542 0.000 1.977 6.542 0.000 0.000 0.000 3.923" Properties=species:S:1:pos:R:3 pbc="T T T"
Th 0.000 0.000 0.000
Mn 1.977 3.933 1.962
Mn 1.977 2.627 0.000
Mn 1.977 -2.627 0.000
Mn 1.977 -3.933 1.962
Si 1.977 1.297 1.962
Si 1.977 -1.297 1.962
```

Results
* E_tot: -8.322 eV per atom
* crystal system: orthorhombic
* calculated volume: 14.5 Å³/atom
* energy relative to the elements, uncorrected: -0.4725 eV/atom
* space group: Cmmm (65)


Here is a relaxed structure of ThMn3Si2 from the Alexandria database. Energies are from PBE.

```
12
Lattice="7.261 -1.973 0.000 7.261 1.973 0.000 -3.169 0.000 6.457" Properties=species:S:1:pos:R:3 pbc="T T T"
Th 1.929 0.000 0.382
Th 9.423 0.000 6.075
Mn -0.668 0.000 2.536
Mn 2.668 0.000 3.374
Mn 4.864 0.000 2.394
Mn 6.488 0.000 4.063
Mn 8.684 0.000 3.083
Mn 12.020 0.000 3.921
Si 0.561 0.000 4.461
Si 4.360 0.000 5.130
Si 6.992 0.000 1.327
Si 10.791 0.000 1.997
```

Results
* E_tot: -8.090 eV per atom
* crystal system: monoclinic
* calculated volume: 15.4 Å³/atom
* energy relative to the elements, uncorrected: -0.4607 eV/atom
* space group: C2/m (12)


Here is a relaxed structure of ThMnSi2 from the Alexandria database. Energies are from PBE.

```
4
Lattice="2.030 1.172 5.054 -2.030 1.172 5.054 0.000 -2.344 5.054" Properties=species:S:1:pos:R:3 pbc="T T T"
Th 0.000 0.000 0.000
Mn 0.000 0.000 7.582
Si 0.000 0.000 3.126
Si 0.000 0.000 12.037
```

Results
* E_tot: -7.416 eV per atom
* crystal system: trigonal
* calculated volume: 18.0 Å³/atom
* energy relative to the elements, uncorrected: -0.5574 eV/atom
* space group: R-3m (166)


Here is a relaxed structure of Th2MnSi5 from the Alexandria database. Energies are from PBE.

```
8
Lattice="-2.916 2.916 4.478 2.916 -2.916 4.478 2.916 2.916 -4.478" Properties=species:S:1:pos:R:3 pbc="T T T"
Th 2.916 0.000 0.000
Th 0.000 2.916 0.000
Mn 0.000 0.000 1.810
Si 1.657 1.657 2.187
Si 1.260 -1.260 6.665
Si 0.000 0.000 8.481
Si -1.260 1.260 6.665
Si 1.260 1.260 6.665
```

Results
* E_tot: -6.825 eV per atom
* crystal system: tetragonal
* calculated volume: 19.0 Å³/atom
* energy relative to the elements, uncorrected: -0.4345 eV/atom
* space group: I4mm (107)